1.
VASP calculation (GGA-PBE) on a relaxed structure of Sm3Si8Rh3.

a b c (Å): 7.8081 7.8081 8.7335
angles (deg): 117.66 117.66 30.95
Sites, in units of the cell vectors:
Sm: 0.0000 0.0000 0.0000
Sm: 0.2963 0.2963 0.3501
Sm: 0.7037 0.7037 0.6499
Si: 0.1109 0.1109 0.3750
Si: 0.1377 0.1377 0.8422
Si: 0.3659 0.3659 0.7531
Si: 0.4824 0.4824 0.2890
Si: 0.5176 0.5176 0.7110
Si: 0.6341 0.6341 0.2469
Si: 0.8623 0.8623 0.1578
Si: 0.8891 0.8891 0.6250
Rh: 0.0000 0.0000 0.5000
Rh: 0.3215 0.3215 0.9901
Rh: 0.6785 0.6785 0.0099

Summary:
Size of the total moment in μB per atom: 0.0000
Crystal system: monoclinic
Uncorrected formation energy in meV per atom: -698

---

2.
VASP calculation (GGA-PBE) on a relaxed structure of SiOs2Cl.

a b c (Å): 5.3176 5.3176 4.1046
angles (deg): 96.52 96.52 30.86
Sites, in units of the cell vectors:
Si: 0.0000 0.0000 0.0000
Os: 0.3036 0.3036 0.7660
Os: 0.5681 0.5681 0.5491
Cl: 0.7652 0.7652 0.2810

Summary:
Size of the total moment in μB per atom: 0.0000
Crystal system: monoclinic
Uncorrected formation energy in meV per atom: 637

---

> Among the records above, which one has the lowest uncorrected formation energy?

Sm3Si8Rh3

---

> Which formula does entry 2 have?

SiOs2Cl

---

Please write out number 2 again, unchanged.
VASP calculation (GGA-PBE) on a relaxed structure of SiOs2Cl.

a b c (Å): 5.3176 5.3176 4.1046
angles (deg): 96.52 96.52 30.86
Sites, in units of the cell vectors:
Si: 0.0000 0.0000 0.0000
Os: 0.3036 0.3036 0.7660
Os: 0.5681 0.5681 0.5491
Cl: 0.7652 0.7652 0.2810

Summary:
Size of the total moment in μB per atom: 0.0000
Crystal system: monoclinic
Uncorrected formation energy in meV per atom: 637